A plane-wave DFT calculation with PBE-GGA was carried out for an optimized crystal structure of Sr2Tb2O5.

The structure belongs to space group P4/mmm (No. 123); the cell edges are 4.3385, 4.3385 and 8.1819 Å and the angles 90.00°, 90.00° and 90.00°. The distinct sites, in fractional coordinates, are Sr at (0.0000, 0.0000, 0.0000), Sr at (0.0000, 0.0000, 0.5000), Tb at (0.5000, 0.5000, 0.2408), O at (0.0000, 0.5000, 0.1935) and O at (0.5000, 0.5000, 0.5000).

The raw total energy comes out at -64.1 eV for the cell shown. The energy above the lowest structure with this stoichiometry is 0.000 eV per atom.